Entry 1:
VASP calculation (GGA-PBE) on crystalline TlTe2PtS at its relaxed geometry.

Properties
DOS at the Fermi energy: 0.908 states/eV per atom
Uncorrected energy: -3.469 eV per atom
Space group: No. 123

a b c (Å): 5.5742 5.5742 4.4657
angles (deg): 90.00 90.00 90.00
Last column: nearest neighbours and their distance in Å.
Fractional coordinates of all 5 atoms:
Tl1 0.0000 0.0000 0.0000  8 Te 3.57, 4 Pt 3.94
Te1 0.0000 0.5000 0.5000  2 S 2.79
Te2 0.5000 0.0000 0.5000  2 S 2.79
Pt1 0.5000 0.5000 0.0000  2 S 2.23
S1 0.5000 0.5000 0.5000  2 Pt 2.23

***

Entry 2:
VASP calculation (GGA-PBE) on crystalline Tm6Te3Pt2S at its relaxed geometry.

Properties
DOS at the Fermi energy: 0.429 states/eV per atom
Uncorrected energy: -5.749 eV per atom
Space group: No. 12

a b c (Å): 7.1105 7.1105 7.5166
angles (deg): 98.99 98.99 120.09
Last column: nearest neighbours and their distance in Å.
Fractional coordinates of all 12 atoms:
Tm1 0.0869 0.4291 0.7886  2 Pt 2.78, 1 S 2.87
Tm2 0.2282 0.2282 0.2109  2 Pt 2.79, 1 S 2.85, 1 Te 3.09
Tm3 0.4291 0.0869 0.7886  2 Pt 2.78, 1 S 2.87
Tm4 0.5709 0.9131 0.2114  2 Pt 2.78, 1 S 2.87
Tm5 0.7718 0.7718 0.7891  2 Pt 2.79, 1 S 2.85, 1 Te 3.09
Tm6 0.9131 0.5709 0.2114  2 Pt 2.78, 1 S 2.87
Te1 0.0000 0.0000 0.5000  6 Tm 3.09-3.17
Te2 0.3375 0.6625 0.5000  6 Tm 3.13-3.16
Te3 0.6625 0.3375 0.5000  6 Tm 3.13-3.16
Pt1 0.1674 0.8326 0.0000  6 Tm 2.78-2.79
Pt2 0.8326 0.1674 0.0000  6 Tm 2.78-2.79
S1 0.5000 0.5000 0.0000  6 Tm 2.85-2.87

***

Entry 3:
VASP calculation (GGA-PBE) on crystalline Tm4TePtS2 at its relaxed geometry.

Properties
DOS at the Fermi energy: 0.542 states/eV per atom
Uncorrected energy: -5.938 eV per atom
Space group: No. 10

a b c (Å): 6.9839 3.9106 7.1554
angles (deg): 90.00 108.14 90.00
Last column: nearest neighbours and their distance in Å.
Fractional coordinates of all 8 atoms:
Tm1 0.2213 0.0000 0.2251  3 S 2.69-2.89, 1 Pt 2.85, 2 Te 3.02
Tm2 0.2310 0.5000 0.7541  3 S 2.73-2.90, 2 Pt 2.81, 1 Te 2.99
Tm3 0.7690 0.5000 0.2459  3 S 2.73-2.90, 2 Pt 2.81, 1 Te 2.99
Tm4 0.7787 0.0000 0.7749  3 S 2.69-2.89, 1 Pt 2.85, 2 Te 3.02
Te1 0.5000 0.5000 0.5000  6 Tm 2.99-3.02
Pt1 0.0000 0.0000 0.5000  6 Tm 2.81-2.85
S1 0.0000 0.5000 0.0000  6 Tm 2.69-2.73
S2 0.5000 0.0000 0.0000  6 Tm 2.89-2.90

***

Entry 4:
VASP calculation (GGA-PBE) on crystalline Y6Te3PtS2 at its relaxed geometry.

Properties
DOS at the Fermi energy: 0.353 states/eV per atom
Uncorrected energy: -6.758 eV per atom
Space group: No. 12

a b c (Å): 7.2046 7.2046 7.3934
angles (deg): 99.41 99.41 120.00
Last column: nearest neighbours and their distance in Å.
Fractional coordinates of all 12 atoms:
Y1 0.0700 0.3995 0.2139  1 Pt 2.80, 2 S 2.84-2.85, 3 Te 3.11-3.12
Y2 0.2579 0.2579 0.7835  1 Pt 2.82, 2 S 2.84, 3 Te 3.13-3.14
Y3 0.3995 0.0700 0.2139  1 Pt 2.80, 2 S 2.84-2.85, 3 Te 3.11-3.12
Y4 0.6005 0.9300 0.7861  1 Pt 2.80, 2 S 2.84-2.85, 3 Te 3.11-3.12
Y5 0.7421 0.7421 0.2165  1 Pt 2.82, 2 S 2.84, 3 Te 3.13-3.14
Y6 0.9300 0.6005 0.7861  1 Pt 2.80, 2 S 2.84-2.85, 3 Te 3.11-3.12
Te1 0.1702 0.8298 0.5000  6 Y 3.11-3.13
Te2 0.5000 0.5000 0.5000  6 Y 3.12-3.14
Te3 0.8298 0.1702 0.5000  6 Y 3.11-3.13
Pt1 0.0000 0.0000 0.0000  6 Y 2.80-2.82
S1 0.3342 0.6658 0.0000  6 Y 2.84-2.85
S2 0.6658 0.3342 0.0000  6 Y 2.84-2.85

***

Entry 5:
VASP calculation (GGA-PBE) on crystalline Y2TePtS at its relaxed geometry.

Properties
DOS at the Fermi energy: 0.788 states/eV per atom
Uncorrected energy: -6.204 eV per atom
Space group: No. 123

a b c (Å): 5.2664 5.2664 4.4751
angles (deg): 90.00 90.00 90.00
Last column: nearest neighbours and their distance in Å.
Fractional coordinates of all 5 atoms:
Y1 0.0000 0.5000 0.0000  2 S 2.63
Y2 0.5000 0.0000 0.0000  2 S 2.63
Te1 0.0000 0.0000 0.5000  8 Y 3.46, 4 Pt 3.72
Pt1 0.5000 0.5000 0.5000  2 S 2.24
S1 0.5000 0.5000 0.0000  2 Pt 2.24

***

Entry 6:
VASP calculation (GGA-PBE) on crystalline YTePtS2 at its relaxed geometry.

Properties
DOS at the Fermi energy: 0.532 states/eV per atom
Uncorrected energy: -5.179 eV per atom
Space group: No. 123

a b c (Å): 4.7476 4.7476 5.3060
angles (deg): 90.00 90.00 90.00
Last column: nearest neighbours and their distance in Å.
Fractional coordinates of all 5 atoms:
Y1 0.0000 0.0000 0.0000  4 Te 3.36, 8 S 3.56
Te1 0.5000 0.5000 0.0000  2 Pt 2.65
Pt1 0.5000 0.5000 0.5000  4 S 2.37, 2 Te 2.65
S1 0.0000 0.5000 0.5000  2 Pt 2.37
S2 0.5000 0.0000 0.5000  2 Pt 2.37

***

Entry 7:
VASP calculation (GGA-PBE) on crystalline Y4Te2PtS at its relaxed geometry.

Properties
DOS at the Fermi energy: 0.586 states/eV per atom
Uncorrected energy: -6.759 eV per atom
Space group: No. 10

a b c (Å): 7.3311 4.1084 7.4621
angles (deg): 90.00 108.77 90.00
Last column: nearest neighbours and their distance in Å.
Fractional coordinates of all 8 atoms:
Y1 0.2294 0.0000 0.2101  2 Pt 2.79, 1 S 2.90
Y2 0.2633 0.5000 0.7848  2 S 2.83, 1 Pt 2.88, 3 Te 3.13-3.15
Y3 0.7367 0.5000 0.2152  2 S 2.83, 1 Pt 2.88, 3 Te 3.13-3.15
Y4 0.7706 0.0000 0.7899  2 Pt 2.79, 1 S 2.90
Te1 0.0000 0.0000 0.5000  6 Y 3.13-3.14
Te2 0.5000 0.5000 0.5000  6 Y 3.15-3.17
Pt1 0.0000 0.5000 0.0000  6 Y 2.79-2.88
S1 0.5000 0.0000 0.0000  6 Y 2.83-2.90

***

Entry 8:
VASP calculation (GGA-PBE) on crystalline Y8Te4Pt3S at its relaxed geometry.

Properties
DOS at the Fermi energy: 0.700 states/eV per atom
Uncorrected energy: -6.771 eV per atom
Space group: No. 166

a b c (Å): 8.6485 8.6485 8.6485
angles (deg): 57.75 57.75 57.75
Last column: nearest neighbours and their distance in Å.
Fractional coordinates of all 16 atoms:
Y1 0.2335 0.7405 0.7405  2 Pt 2.85, 1 S 2.89, 3 Te 3.14-3.18
Y2 0.2364 0.2364 0.2364  3 Pt 2.84
Y3 0.2595 0.2595 0.7665  2 Pt 2.85, 1 S 2.89, 3 Te 3.14-3.18
Y4 0.2595 0.7665 0.2595  2 Pt 2.85, 1 S 2.89, 3 Te 3.14-3.18
Y5 0.7405 0.2335 0.7405  2 Pt 2.85, 1 S 2.89, 3 Te 3.14-3.18
Y6 0.7405 0.7405 0.2335  2 Pt 2.85, 1 S 2.89, 3 Te 3.14-3.18
Y7 0.7636 0.7636 0.7636  3 Pt 2.84
Y8 0.7665 0.2595 0.2595  2 Pt 2.85, 1 S 2.89, 3 Te 3.14-3.18
Te1 0.0000 0.0000 0.0000  6 Y 3.14
Te2 0.0000 0.5000 0.5000  6 Y 3.18-3.19
Te3 0.5000 0.0000 0.5000  6 Y 3.18-3.19
Te4 0.5000 0.5000 0.0000  6 Y 3.18-3.19
Pt1 0.0000 0.0000 0.5000  6 Y 2.84-2.85
Pt2 0.0000 0.5000 0.0000  6 Y 2.84-2.85
Pt3 0.5000 0.0000 0.0000  6 Y 2.84-2.85
S1 0.5000 0.5000 0.5000  6 Y 2.89

***

Entry 9:
VASP calculation (GGA-PBE) on crystalline Th4PtS3 at its relaxed geometry.

Properties
DOS at the Fermi energy: 0.702 states/eV per atom
Uncorrected energy: -7.655 eV per atom
Space group: No. 65

a b c (Å): 7.1546 7.1546 4.0649
angles (deg): 90.00 90.00 109.29
Last column: nearest neighbours and their distance in Å.
Fractional coordinates of all 8 atoms:
Th1 0.2471 0.7529 0.0000  5 S 2.88-2.90, 1 Pt 2.95
Th2 0.2506 0.2506 0.5000  2 Pt 2.90, 4 S 2.90-2.92
Th3 0.7494 0.7494 0.5000  2 Pt 2.90, 4 S 2.90-2.92
Th4 0.7529 0.2471 0.0000  5 S 2.88-2.90, 1 Pt 2.95
Pt1 0.5000 0.5000 0.0000  6 Th 2.90-2.95
S1 0.0000 0.0000 0.0000  6 Th 2.88-2.90
S2 0.0000 0.5000 0.5000  6 Th 2.90-2.92
S3 0.5000 0.0000 0.5000  6 Th 2.90-2.92

***

Entry 10:
VASP calculation (GGA-PBE) on crystalline Th2PtS at its relaxed geometry.

Properties
DOS at the Fermi energy: 0.557 states/eV per atom
Uncorrected energy: -7.594 eV per atom
Space group: No. 160

a b c (Å): 7.7959 7.7959 7.7959
angles (deg): 29.94 29.94 29.94
Last column: nearest neighbours and their distance in Å.
Fractional coordinates of all 4 atoms:
Th1 0.0000 0.0000 0.0000  3 Pt 2.90, 3 S 3.02
Th2 0.1753 0.1753 0.1753  3 Pt 2.94, 3 S 3.06
Pt1 0.5890 0.5890 0.5890  6 Th 2.90-2.94
S1 0.4198 0.4198 0.4198  6 Th 3.02-3.06

***

Entry 11:
VASP calculation (GGA-PBE) on crystalline YThPtS at its relaxed geometry.

Properties
DOS at the Fermi energy: 0.812 states/eV per atom
Uncorrected energy: -7.466 eV per atom
Space group: No. 160

a b c (Å): 7.7025 7.7025 7.7025
angles (deg): 29.36 29.36 29.36
Last column: nearest neighbours and their distance in Å.
Fractional coordinates of all 4 atoms:
Y1 0.0000 0.0000 0.0000  3 S 2.78, 3 Pt 2.96
Th1 0.1702 0.1702 0.1702  3 Pt 2.91, 3 S 3.00
Pt1 0.4201 0.4201 0.4201  3 Th 2.91, 3 Y 2.96
S1 0.5929 0.5929 0.5929  3 Y 2.78, 3 Th 3.00

***

Entry 12:
VASP calculation (GGA-PBE) on crystalline TiPt2S6 at its relaxed geometry.

Properties
Uncorrected energy: -5.591 eV per atom
Space group: No. 12

a b c (Å): 6.5906 6.5906 10.2608
angles (deg): 119.10 119.10 31.08
Last column: nearest neighbours and their distance in Å.
Fractional coordinates of all 9 atoms:
Ti1 0.0000 0.0000 0.0000  6 S 2.45
Pt1 0.3367 0.3367 0.6716  6 S 2.39-2.44
Pt2 0.6633 0.6633 0.3284  6 S 2.39-2.44
S1 0.0140 0.0140 0.2467  2 Pt 2.41, 1 Ti 2.45
S2 0.3110 0.3110 0.4241  3 Pt 2.39-2.40
S3 0.3450 0.3450 0.9141  1 Pt 2.44, 2 Ti 2.45
S4 0.6550 0.6550 0.0859  1 Pt 2.44, 2 Ti 2.45
S5 0.6890 0.6890 0.5759  3 Pt 2.39-2.40
S6 0.9860 0.9860 0.7533  2 Pt 2.41, 1 Ti 2.45

***

| no. | raw formation energy (eV/atom) |
| --- | --- |
| 1 | 0.294 |
| 2 | -1.377 |
| 3 | -1.522 |
| 4 | -1.549 |
| 5 | -0.956 |
| 6 | -0.398 |
| 7 | -1.471 |
| 8 | -1.362 |
| 9 | -1.642 |
| 10 | -1.342 |
| 11 | -1.453 |
| 12 | -0.619 |